An optimized crystal structure of Ag2PdI8, computed with PBE.

Calculated values
total moment	0.00	μB per cell
density	4.69	g cm⁻³
raw formation energy	-46	meV/atom
volume	474	Å³/cell

a = 8.5404 Å, b = 8.5404 Å, c = 6.5692 Å
α = 95.52°, β = 95.52°, γ = 92.60°
Last column: nearest neighbours and their distance in Å.
Positions (direct):
Ag 0.2407 0.2407 0.1542  4 I 2.78-2.90
Ag 0.7593 0.7593 0.8458  4 I 2.78-2.90
Pd 0.0000 0.0000 0.5000  6 I 2.71-2.74
I 0.0771 0.7614 0.7268  1 Pd 2.71, 1 Ag 2.90
I 0.2147 0.2147 0.7210  1 Pd 2.74, 1 Ag 2.82
I 0.2386 0.9229 0.2732  1 Pd 2.71, 1 Ag 2.90
I 0.4780 0.4780 0.2502  1 Ag 2.78
I 0.5220 0.5220 0.7498  1 Ag 2.78
I 0.7614 0.0771 0.7268  1 Pd 2.71, 1 Ag 2.90
I 0.7853 0.7853 0.2790  1 Pd 2.74, 1 Ag 2.82
I 0.9229 0.2386 0.2732  1 Pd 2.71, 1 Ag 2.90

***

An optimized crystal structure of Ag2PdI5, computed with PBE.

Calculated values
total moment	0.00	μB per cell
density	5.57	g cm⁻³
raw formation energy	-151	meV/atom
volume	285	Å³/cell

a = 5.9234 Å, b = 7.3867 Å, c = 7.5422 Å
α = 81.94°, β = 67.07°, γ = 69.82°
Last column: nearest neighbours and their distance in Å.
Positions (direct):
Ag 0.0000 0.0000 0.0000  5 I 2.92-3.17
Ag 0.1596 0.5158 0.5238  4 I 2.73-3.01
Pd 0.6260 0.1264 0.5887  5 I 2.69-2.91
I 0.1133 0.1234 0.5989  2 Pd 2.91-3.02, 2 Ag 2.92-2.96
I 0.3838 0.4553 0.7995  1 Pd 2.72, 1 Ag 2.79
I 0.5585 0.9193 0.9169  1 Pd 2.69, 1 Ag 2.97
I 0.7072 0.3351 0.2554  1 Pd 2.72, 2 Ag 2.94-3.01
I 0.8406 0.7993 0.3764  1 Pd 2.72, 2 Ag 2.73-2.97

***

An optimized crystal structure of AgPd3I, computed with PBE.

Calculated values
total moment	0.00	μB per cell
density	7.50	g cm⁻³
raw formation energy	561	meV/atom
offset from the most stable computed form	0.00	eV per formula unit
volume	123	Å³/cell

a = 4.9696 Å, b = 4.9696 Å, c = 4.9696 Å
α = 90.00°, β = 90.00°, γ = 90.00°
Last column: nearest neighbours and their distance in Å.
Positions (direct):
Ag 0.0000 0.0000 0.0000  12 Pd 3.51
Pd 0.0000 0.5000 0.5000  2 I 2.48
Pd 0.5000 0.0000 0.5000  2 I 2.48
Pd 0.5000 0.5000 0.0000  2 I 2.48
I 0.5000 0.5000 0.5000  6 Pd 2.48

***

An optimized crystal structure of AgPd2I8, computed with PBE.

Calculated values
total moment	0.00	μB per cell
density	5.05	g cm⁻³
raw formation energy	31	meV/atom
offset from the most stable computed form	0.98	eV per formula unit
volume	439	Å³/cell

a = 7.7580 Å, b = 7.7580 Å, c = 7.8298 Å
α = 101.71°, β = 101.71°, γ = 74.45°
Last column: nearest neighbours and their distance in Å.
Positions (direct):
Ag 0.0000 0.0000 0.0000  4 I 2.84
Pd 0.1956 0.1956 0.6437  4 I 2.60-2.68
Pd 0.8044 0.8044 0.3563  4 I 2.60-2.68
I 0.0985 0.7184 0.2091  1 Pd 2.63, 1 Ag 2.84
I 0.2561 0.2561 0.3494  1 Pd 2.60
I 0.2816 0.9015 0.7909  1 Pd 2.63, 1 Ag 2.84
I 0.4124 0.4124 0.8191  1 Pd 2.68
I 0.5876 0.5876 0.1809  1 Pd 2.68
I 0.7184 0.0985 0.2091  1 Pd 2.63, 1 Ag 2.84
I 0.7439 0.7439 0.6506  1 Pd 2.60
I 0.9015 0.2816 0.7909  1 Pd 2.63, 1 Ag 2.84